(1)
A plane-wave DFT calculation with GGA-PBE was carried out for a relaxed RbH8PdPt2 crystal.

Results
For the raw total energy, the calculation gives -3.819 eV/atom.

Cell lengths 4.920, 4.920, 7.171 Å; angles 69.94, 69.94, 60.00 degrees
Fractional positions:
H  0.372  0.695  0.868
H  0.935  0.628  0.132
H  0.628  0.305  0.132
H  0.065  0.372  0.868
H  0.695  0.065  0.868
H  0.305  0.935  0.132
H  0.783  0.783  0.650
H  0.217  0.217  0.350
Pt  0.299  0.299  0.103
Pt  0.701  0.701  0.897
Pd  0.000  0.000  0.000
Rb  0.500  0.500  0.500

(2)
A plane-wave DFT calculation with GGA-PBE was carried out for a relaxed Ac2InCu4Si3 crystal.

Results
The value obtained for the raw formation energy is -0.410 eV per atom.

Cell lengths 4.306, 4.306, 10.479 Å; angles 90.00, 90.00, 90.00 degrees
Fractional positions:
Cu  0.500  0.000  0.646
Cu  0.000  0.500  0.354
Cu  0.500  0.500  0.000
Cu  0.000  0.000  0.000
Ac  0.500  0.000  0.234
Ac  0.000  0.500  0.766
In  0.500  0.500  0.500
Si  0.500  0.000  0.880
Si  0.000  0.000  0.500
Si  0.000  0.500  0.120

(3)
A plane-wave DFT calculation with GGA-PBE was carried out for a relaxed LaTa2Tl crystal.

Results
The calculation puts the formation enthalpy at 0 K at 0.4774 eV per atom.

Cell lengths 4.880, 4.880, 7.023 Å; angles 85.17, 85.17, 36.53 degrees
Fractional positions:
Ta  0.752  0.752  0.781
Ta  0.012  0.012  0.939
La  0.242  0.242  0.234
Tl  0.493  0.493  0.546

(4)
A plane-wave DFT calculation with GGA-PBE was carried out for a relaxed KTa2Sb crystal.

Results
The value obtained for the raw formation energy is 0.464 eV per atom.

Cell lengths 3.031, 3.031, 10.376 Å; angles 90.00, 90.00, 90.00 degrees
Fractional positions:
Ta  0.500  0.500  0.202
Ta  0.000  0.000  0.997
Sb  0.500  0.500  0.790
K  0.000  0.000  0.511

(5)
A plane-wave DFT calculation with GGA-PBE was carried out for a relaxed Sn2RuRh crystal.

Results
The calculation puts the formation enthalpy at 0 K at 0.5063 eV per atom.

Cell lengths 5.980, 5.980, 7.220 Å; angles 65.54, 65.54, 90.00 degrees
Fractional positions:
Ru  0.500  0.500  0.000
Ru  0.250  0.750  0.500
Sn  0.875  0.874  0.750
Sn  0.126  0.625  0.250
Sn  0.624  0.125  0.250
Sn  0.375  0.376  0.750
Rh  0.000  0.000  0.000
Rh  0.750  0.250  0.500

(6)
A plane-wave DFT calculation with GGA-PBE was carried out for a relaxed Th6Si2As3Se crystal.

Results
The value obtained for the raw formation energy is -1.204 eV per atom.

Cell lengths 4.252, 8.511, 9.516 Å; angles 102.97, 102.91, 90.00 degrees
Fractional positions:
As  0.500  0.500  0.000
As  0.836  0.166  0.671
As  0.164  0.834  0.329
Si  0.834  0.669  0.669
Si  0.166  0.331  0.331
Th  0.331  0.420  0.662
Th  0.330  0.909  0.661
Th  0.670  0.091  0.339
Th  0.997  0.743  0.995
Th  0.669  0.580  0.338
Th  0.003  0.257  0.005
Se  0.500  0.000  0.000

(7)
A plane-wave DFT calculation with GGA-PBE was carried out for a relaxed TbSm2Sc3 crystal.

Results
For the polymorph energy (0 for the lowest one), the calculation gives 0 meV/atom. The calculation puts the formation enthalpy at 0 K at 0.0813 eV per atom.

Cell lengths 5.334, 8.433, 9.823 Å; angles 121.08, 90.00, 108.44 degrees
Fractional positions:
Sc  0.616  0.233  0.597
Sc  0.281  0.562  0.596
Sc  0.384  0.767  0.403
Sc  0.719  0.438  0.404
Sc  0.950  0.899  0.598
Sc  0.050  0.101  0.402
Sm  0.801  0.603  0.155
Sm  0.469  0.938  0.155
Sm  0.531  0.062  0.845
Sm  0.199  0.397  0.845
Tb  0.134  0.269  0.155
Tb  0.866  0.731  0.845

(8)
A plane-wave DFT calculation with GGA-PBE was carried out for a relaxed Tb5Sm3P8 crystal.

Results
The calculation puts the formation enthalpy at 0 K at -1.5951 eV per atom.

Cell lengths 8.116, 8.116, 8.116 Å; angles 60.00, 60.00, 60.00 degrees
Fractional positions:
Tb  0.500  0.500  0.500
Tb  0.500  0.500  0.000
Tb  0.500  0.000  0.000
Tb  0.000  0.000  0.000
Tb  0.000  0.500  0.000
P  0.252  0.252  0.245
P  0.747  0.250  0.753
P  0.750  0.253  0.247
P  0.250  0.250  0.753
P  0.750  0.750  0.247
P  0.748  0.748  0.755
P  0.250  0.747  0.753
P  0.253  0.750  0.247
Sm  0.000  0.000  0.500
Sm  0.500  0.000  0.500
Sm  0.000  0.500  0.500